This record from Alexandria describes crystalline LaFeOs2Cl at its relaxed geometry. The functional is PBE.

Summary:
For the total magnetization, the calculation gives 0.000 μB per formula unit. As for the space group: P4/mmm, No. 123. As for the energy relative to the elements, uncorrected: 3.0 eV per formula unit. The density of states at the Fermi level is 5.032 states/eV/cell. The calculation puts the uncorrected energy at -0.5107 Ry per atom.

Structure (POSCAR):
```
LaFeOs2Cl
1.0
4.491 0.000 0.000
0.000 4.928 0.000
0.000 0.000 4.491
Os Cl La Fe
2 1 1 1
direct
0.000 0.000 0.500
0.500 0.000 0.000
0.000 0.500 0.000
0.500 0.500 0.500
0.000 0.000 0.000
```